(1)
# Ca2Cd2Mo

An optimized crystal structure of Ca2Cd2Mo (PBE, the Alexandria database).

Calculated volume (A^3/atom): 26.95
Spin magnetization (μB per formula unit): 2.48
Formation energy from the elements (eV/atom): 0.3350
Offset from the most stable computed form (eV per atom): 0.000

abc: 7.414 7.414 4.902
angles: 90.00 90.00 90.00
Atoms (fractional coordinates):
1 Mo 0.000 0.000 0.000
2 Mo 0.500 0.500 0.000
3 Ca 0.178 0.678 0.500
4 Ca 0.678 0.822 0.500
5 Ca 0.822 0.322 0.500
6 Ca 0.322 0.178 0.500
7 Cd 0.362 0.862 0.000
8 Cd 0.862 0.638 0.000
9 Cd 0.638 0.138 0.000
10 Cd 0.138 0.362 0.000

***

(2)
# CaCd3Mo

An optimized crystal structure of CaCd3Mo (PBE, the Alexandria database).

Calculated volume (A^3/atom): 29.22
Spin magnetization (μB per formula unit): 0.00
Formation energy from the elements (eV/atom): 0.5803
Offset from the most stable computed form (eV per atom): 0.000

abc: 5.267 5.267 5.267
angles: 90.00 90.00 90.00
Atoms (fractional coordinates):
1 Mo 0.000 0.000 0.000
2 Ca 0.500 0.500 0.500
3 Cd 0.000 0.500 0.000
4 Cd 0.000 0.000 0.500
5 Cd 0.500 0.000 0.000